1.
# Tb3Al2O8, relaxed, DFT PBE
data_Tb3Al2O8
_space_group_name_H-M_alt 'P 1'
_space_group_IT_number 1
_space_group_name_Hall 'P 1'
_cell_length_a 6.903
_cell_length_b 6.903
_cell_length_c 6.903
_cell_angle_alpha 47.62
_cell_angle_beta 47.62
_cell_angle_gamma 47.62
loop_
_atom_site_label
_atom_site_fract_x
_atom_site_fract_y
_atom_site_fract_z
Tb1 0.000 0.000 0.000
Tb2 0.195 0.195 0.195
Tb3 0.805 0.805 0.805
Al1 0.406 0.406 0.406
Al2 0.594 0.594 0.594
O1 0.217 0.739 0.739
O2 0.261 0.261 0.783
O3 0.261 0.783 0.261
O4 0.311 0.311 0.311
O5 0.689 0.689 0.689
O6 0.739 0.217 0.739
O7 0.739 0.739 0.217
O8 0.783 0.261 0.261
# Electronic total energy ... -99.7 eV per formula unit
# Formation energy from raw total energies ... -2975 meV/atom
# Total magnetic moment ... 1.01 μB per formula unit

2.
# Sb2MoPdI, relaxed, DFT PBE
data_Sb2MoPdI
_space_group_name_H-M_alt 'P 1'
_space_group_IT_number 1
_space_group_name_Hall 'P 1'
_cell_length_a 5.138
_cell_length_b 5.138
_cell_length_c 5.730
_cell_angle_alpha 90.00
_cell_angle_beta 90.00
_cell_angle_gamma 90.00
loop_
_atom_site_label
_atom_site_fract_x
_atom_site_fract_y
_atom_site_fract_z
Sb1 0.000 0.500 0.000
Sb2 0.500 0.000 0.000
Mo1 0.000 0.000 0.000
Pd1 0.500 0.500 0.500
I1 0.000 0.000 0.500
# Electronic total energy ... -21.9 eV per formula unit
# Formation energy from raw total energies ... 790 meV/atom
# Total magnetic moment ... 0.11 μB per formula unit

3.
# LiTeRh, relaxed, DFT PBE
data_LiTeRh
_space_group_name_H-M_alt 'P 1'
_space_group_IT_number 1
_space_group_name_Hall 'P 1'
_cell_length_a 4.196
_cell_length_b 4.196
_cell_length_c 6.271
_cell_angle_alpha 90.00
_cell_angle_beta 90.00
_cell_angle_gamma 90.00
loop_
_atom_site_label
_atom_site_fract_x
_atom_site_fract_y
_atom_site_fract_z
Li1 0.250 0.250 0.216
Li2 0.750 0.750 0.784
Te1 0.250 0.250 0.767
Te2 0.750 0.750 0.233
Rh1 0.250 0.750 0.500
Rh2 0.750 0.250 0.500
# Electronic total energy ... -14.1 eV per formula unit
# Formation energy from raw total energies ... -563 meV/atom
# Total magnetic moment ... 0.00 μB per formula unit

4.
# InAsPd2, relaxed, DFT PBE
data_InAsPd2
_space_group_name_H-M_alt 'P 1'
_space_group_IT_number 1
_space_group_name_Hall 'P 1'
_cell_length_a 9.059
_cell_length_b 9.059
_cell_length_c 9.059
_cell_angle_alpha 152.61
_cell_angle_beta 152.61
_cell_angle_gamma 39.13
loop_
_atom_site_label
_atom_site_fract_x
_atom_site_fract_y
_atom_site_fract_z
In1 0.000 0.000 0.000
In2 0.750 0.250 0.500
As1 0.250 0.750 0.500
As2 0.500 0.500 0.000
Pd1 0.164 0.625 0.039
Pd2 0.375 0.414 0.539
Pd3 0.586 0.125 0.961
Pd4 0.875 0.836 0.461
# Energy of formation ... -0.87 eV/f.u.
# Electronic total energy ... -18.6 eV per formula unit
# Total magnetic moment ... 0.00 μB per formula unit

5.
# LiHoErAl, relaxed, DFT PBE
data_LiHoErAl
_space_group_name_H-M_alt 'P 1'
_space_group_IT_number 1
_space_group_name_Hall 'P 1'
_cell_length_a 5.116
_cell_length_b 5.116
_cell_length_c 5.116
_cell_angle_alpha 60.00
_cell_angle_beta 60.00
_cell_angle_gamma 60.00
loop_
_atom_site_label
_atom_site_fract_x
_atom_site_fract_y
_atom_site_fract_z
Li1 0.000 0.000 0.000
Ho1 0.250 0.250 0.250
Er1 0.750 0.750 0.750
Al1 0.500 0.500 0.500
# Energy of formation ... -0.84 eV/f.u.
# Electronic total energy ... -15.6 eV per formula unit
# Total magnetic moment ... 0.00 μB per formula unit

6.
# Rb4TbNp3S8, relaxed, DFT PBE
data_Rb4TbNp3S8
_space_group_name_H-M_alt 'P 1'
_space_group_IT_number 1
_space_group_name_Hall 'P 1'
_cell_length_a 9.029
_cell_length_b 9.029
_cell_length_c 9.029
_cell_angle_alpha 54.34
_cell_angle_beta 54.34
_cell_angle_gamma 54.34
loop_
_atom_site_label
_atom_site_fract_x
_atom_site_fract_y
_atom_site_fract_z
Rb1 0.000 0.000 0.000
Rb2 0.000 0.500 0.500
Rb3 0.500 0.000 0.500
Rb4 0.500 0.500 0.000
Tb1 0.500 0.500 0.500
Np1 0.000 0.000 0.500
Np2 0.000 0.500 0.000
Np3 0.500 0.000 0.000
S1 0.229 0.229 0.229
S2 0.232 0.730 0.730
S3 0.270 0.270 0.768
S4 0.270 0.768 0.270
S5 0.730 0.232 0.730
S6 0.730 0.730 0.232
S7 0.768 0.270 0.270
S8 0.771 0.771 0.771
# Electronic total energy ... -104.0 eV per formula unit
# Formation energy from raw total energies ... -1481 meV/atom
# Total magnetic moment ... 12.00 μB per formula unit